Record 1
Material: PmAl6Ag12
Method: DFT, PBE
State: relaxed

Properties
DOS at the Fermi energy: 8.00 states/eV/cell
Energy of formation from the pure elements: -0.03 eV/atom

```
data_PmAl6Ag12
_cell_length_a 11.8556
_cell_length_b 11.8556
_cell_length_c 8.9756
_cell_angle_alpha 90.00
_cell_angle_beta 90.00
_cell_angle_gamma 120.00
_symmetry_space_group_name_H-M 'R -3 m'
_symmetry_Int_Tables_number 166
_symmetry_space_group_name_Hall '-R 3 2"'
loop_
_atom_site_label
_atom_site_fract_x
_atom_site_fract_y
_atom_site_fract_z
Pm1 0.0000 0.0000 0.0000
Al1 0.0497 0.5249 0.2487
Ag1 0.0000 0.3830 0.5000
Ag2 0.0832 0.1664 0.3071
```



Record 2
Material: Pm2Al2Ag3
Method: DFT, PBE
State: relaxed

Properties
DOS at the Fermi energy: 9.71 states/eV/cell
Energy of formation from the pure elements: -0.28 eV/atom

```
data_Pm2Al2Ag3
_cell_length_a 11.955
_cell_length_b 3.698
_cell_length_c 7.080
_cell_angle_alpha 90.00
_cell_angle_beta 97.08
_cell_angle_gamma 90.00
_symmetry_space_group_name_H-M 'C 1 2/m 1'
_symmetry_Int_Tables_number 12
loop_
_symmetry_equiv_pos_as_xyz
'x,y,z'
'-x,-y,-z'
'-x,y,-z'
'x,-y,z'
'x+1/2,y+1/2,z'
'-x+1/2,-y+1/2,-z'
'-x+1/2,y+1/2,-z'
'x+1/2,-y+1/2,z'
loop_
_atom_site_label
_atom_site_fract_x
_atom_site_fract_y
_atom_site_fract_z
Pm1 0.146 0.000 0.326
Al1 0.077 0.500 0.653
Ag1 0.000 0.500 0.000
Ag2 0.178 0.000 0.879
```



Record 3
Material: PmAlAg5
Method: DFT, PBE
State: relaxed

Properties
DOS at the Fermi energy: 14.80 states/eV/cell
Energy of formation from the pure elements: -0.16 eV/atom

```
data_PmAlAg5
_cell_length_a 9.011
_cell_length_b 5.626
_cell_length_c 11.096
_cell_angle_alpha 90.00
_cell_angle_beta 90.00
_cell_angle_gamma 90.00
_symmetry_space_group_name_H-M 'P n m a'
_symmetry_Int_Tables_number 62
loop_
_symmetry_equiv_pos_as_xyz
'x,y,z'
'-x,-y,-z'
'-x+1/2,-y,z+1/2'
'x+1/2,y,-z+1/2'
'x+1/2,-y+1/2,-z+1/2'
'-x+1/2,y+1/2,z+1/2'
'-x,y+1/2,-z'
'x,-y+1/2,z'
loop_
_atom_site_label
_atom_site_fract_x
_atom_site_fract_y
_atom_site_fract_z
Pm1 0.245 0.250 0.060
Al1 0.161 0.750 0.845
Ag1 0.057 0.010 0.297
Ag2 0.068 0.750 0.068
Ag3 0.101 0.250 0.517
Ag4 0.187 0.250 0.771
```



Record 4
Material: Pm4AlAg
Method: DFT, PBE
State: relaxed

Properties
DOS at the Fermi energy: 8.19 states/eV/cell
Energy of formation from the pure elements: 0.02 eV/atom

```
data_Pm4AlAg
_cell_length_a 5.073
_cell_length_b 5.073
_cell_length_c 7.504
_cell_angle_alpha 90.00
_cell_angle_beta 90.00
_cell_angle_gamma 90.00
_symmetry_space_group_name_H-M 'P 4/m m m'
_symmetry_Int_Tables_number 123
_symmetry_space_group_name_Hall '-P 4 2'
loop_
_atom_site_label
_atom_site_fract_x
_atom_site_fract_y
_atom_site_fract_z
Pm1 0.000 0.500 0.247
Al1 0.000 0.000 0.000
Ag1 0.500 0.500 0.500
```



Record 5
Material: Pm4AlAg3
Method: DFT, PBE
State: relaxed

Properties
DOS at the Fermi energy: 8.58 states/eV/cell
Energy of formation from the pure elements: -0.26 eV/atom

```
data_Pm4AlAg3
_cell_length_a 3.739
_cell_length_b 4.796
_cell_length_c 11.797
_cell_angle_alpha 90.00
_cell_angle_beta 90.00
_cell_angle_gamma 90.00
_symmetry_space_group_name_H-M 'P m m 2'
_symmetry_Int_Tables_number 25
loop_
_symmetry_equiv_pos_as_xyz
'x,y,z'
'-x,-y,z'
'-x,y,z'
'x,-y,z'
loop_
_atom_site_label
_atom_site_fract_x
_atom_site_fract_y
_atom_site_fract_z
Pm1 0.000 0.000 0.000
Pm2 0.000 0.500 0.297
Pm3 0.500 0.000 0.500
Pm4 0.500 0.500 0.802
Al1 0.000 0.000 0.723
Ag1 0.000 0.500 0.580
Ag2 0.500 0.000 0.224
Ag3 0.500 0.500 0.076
```



Record 6
Material: Pm2Al5Ag12
Method: DFT, PBE
State: relaxed

Properties
DOS at the Fermi energy: 21.42 states/eV/cell
Energy of formation from the pure elements: -0.18 eV/atom

```
data_Pm2Al5Ag12
_cell_length_a 9.4811
_cell_length_b 9.4811
_cell_length_c 14.0635
_cell_angle_alpha 90.00
_cell_angle_beta 90.00
_cell_angle_gamma 120.00
_symmetry_space_group_name_H-M 'R -3 m'
_symmetry_Int_Tables_number 166
_symmetry_space_group_name_Hall '-R 3 2"'
loop_
_atom_site_label
_atom_site_fract_x
_atom_site_fract_y
_atom_site_fract_z
Pm1 0.0000 0.0000 0.1643
Al1 0.0000 0.0000 0.4052
Al2 0.0000 0.5000 0.0000
Ag1 0.0000 0.2994 0.5000
Ag2 0.0110 0.5055 0.3489
```



Record 7
Material: PmAlAg2
Method: DFT, PBE
State: relaxed

Properties
DOS at the Fermi energy: 2.60 states/eV/cell
Energy of formation from the pure elements: -0.13 eV/atom

```
data_PmAlAg2
_cell_length_a 3.248
_cell_length_b 3.248
_cell_length_c 7.782
_cell_angle_alpha 90.00
_cell_angle_beta 90.00
_cell_angle_gamma 90.00
_symmetry_space_group_name_H-M 'P 4/m m m'
_symmetry_Int_Tables_number 123
_symmetry_space_group_name_Hall '-P 4 2'
loop_
_atom_site_label
_atom_site_fract_x
_atom_site_fract_y
_atom_site_fract_z
Pm1 0.000 0.000 0.000
Al1 0.000 0.000 0.500
Ag1 0.500 0.500 0.297
```



Record 8
Material: PmAl3Ag2
Method: DFT, PBE
State: relaxed

Properties
DOS at the Fermi energy: 6.51 states/eV/cell
Energy of formation from the pure elements: -0.25 eV/atom

```
data_PmAl3Ag2
_cell_length_a 9.899
_cell_length_b 8.294
_cell_length_c 5.884
_cell_angle_alpha 90.00
_cell_angle_beta 90.00
_cell_angle_gamma 90.00
_symmetry_space_group_name_H-M 'C m c m'
_symmetry_Int_Tables_number 63
_symmetry_space_group_name_Hall '-C 2c 2'
loop_
_atom_site_label
_atom_site_fract_x
_atom_site_fract_y
_atom_site_fract_z
Pm1 0.000 0.169 0.250
Al1 0.000 0.460 0.750
Al2 0.140 0.196 0.750
Ag1 0.220 0.500 0.000
```